## CrP2Pb5O13 (PBE+U)

Data for a relaxed CrP2Pb5O13 crystal.

Unit cell a=13.693 b=10.501 c=9.646 alpha=90.00 beta=90.00 gamma=90.00
Fractional coordinates of all 84 atoms:
Cr 0.001 0.250 0.072
Cr 0.499 0.750 0.572
Cr 0.501 0.250 0.428
Cr 0.999 0.750 0.928
P 0.160 0.534 0.432
P 0.160 0.966 0.432
P 0.340 0.034 0.932
P 0.340 0.466 0.932
P 0.660 0.534 0.068
P 0.660 0.966 0.068
P 0.840 0.034 0.568
P 0.840 0.466 0.568
Pb 0.025 0.250 0.471
Pb 0.076 0.057 0.786
Pb 0.076 0.443 0.786
Pb 0.219 0.750 0.162
Pb 0.236 0.250 0.207
Pb 0.264 0.750 0.707
Pb 0.281 0.250 0.662
Pb 0.424 0.557 0.286
Pb 0.424 0.943 0.286
Pb 0.475 0.750 0.971
Pb 0.525 0.250 0.029
Pb 0.576 0.057 0.714
Pb 0.576 0.443 0.714
Pb 0.719 0.750 0.338
Pb 0.736 0.250 0.293
Pb 0.764 0.750 0.793
Pb 0.781 0.250 0.838
Pb 0.924 0.557 0.214
Pb 0.924 0.943 0.214
Pb 0.975 0.750 0.529
O 0.018 0.750 0.100
O 0.058 0.582 0.381
O 0.058 0.918 0.381
O 0.066 0.122 0.110
O 0.066 0.378 0.110
O 0.107 0.750 0.847
O 0.113 0.250 0.675
O 0.168 0.563 0.590
O 0.168 0.937 0.590
O 0.171 0.112 0.408
O 0.171 0.388 0.408
O 0.242 0.605 0.350
O 0.242 0.895 0.350
O 0.258 0.105 0.850
O 0.258 0.395 0.850
O 0.329 0.612 0.908
O 0.329 0.888 0.908
O 0.332 0.063 0.090
O 0.332 0.437 0.090
O 0.387 0.750 0.175
O 0.393 0.250 0.347
O 0.434 0.622 0.610
O 0.434 0.878 0.610
O 0.442 0.082 0.881
O 0.442 0.418 0.881
O 0.482 0.250 0.600
O 0.518 0.750 0.400
O 0.558 0.582 0.119
O 0.558 0.918 0.119
O 0.566 0.122 0.390
O 0.566 0.378 0.390
O 0.607 0.750 0.653
O 0.613 0.250 0.825
O 0.668 0.563 0.910
O 0.668 0.937 0.910
O 0.671 0.112 0.092
O 0.671 0.388 0.092
O 0.742 0.605 0.150
O 0.742 0.895 0.150
O 0.758 0.105 0.650
O 0.758 0.395 0.650
O 0.829 0.612 0.592
O 0.829 0.888 0.592
O 0.832 0.063 0.410
O 0.832 0.437 0.410
O 0.887 0.750 0.325
O 0.893 0.250 0.153
O 0.934 0.622 0.890
O 0.934 0.878 0.890
O 0.942 0.082 0.619
O 0.942 0.418 0.619
O 0.982 0.250 0.900

Computed properties:
For the magnetization, the calculation gives 0.00 μB per cell. As for the calculated total energy: -6.49 eV per atom. Its density of states at the Fermi level is 0.000 states/eV/atom.